Entry 1:
Below is crystalline BaHoGaO4 at its relaxed geometry, with properties calculated at the PBE-GGA level.

Unit cell a=5.7493 b=5.8485 c=7.2423 alpha=90.00 beta=108.40 gamma=90.00
Last column: nearest neighbours and their distance in Å.
Space group P2_1/m (No. 11)
Inequivalent atoms, fractional coordinates:
Ba1 0.2147 0.2500 0.4345 x2  2 O 2.50-2.61
Ho1 0.3079 0.2500 0.9629 x2  6 O 2.25-2.40
Ga1 0.2383 0.7500 0.1662 x2  4 O 1.83-1.89
O1 0.0125 0.7500 0.9220 x2  1 Ga 1.83
O2 0.0412 0.7500 0.3260 x2  1 Ga 1.86
O3 0.4723 0.5142 0.1958 x4  1 Ga 1.89

spin magnetization: 0.0 μB/cell
formation energy (no corrections): -18.77 eV/f.u.
VASP energy: -6.8754 eV/atom



Entry 2:
Below is crystalline ScNbGa3 at its relaxed geometry, with properties calculated at the PBE-GGA level.

Unit cell a=3.8311 b=3.8311 c=12.8749 alpha=90.00 beta=90.00 gamma=90.00
Last column: nearest neighbours and their distance in Å.
Space group I4mm (No. 107)
Inequivalent atoms, fractional coordinates:
Sc1 0.0000 0.0000 0.0000 x2  4 Ga 2.85
Nb1 0.0000 0.0000 0.6344 x2  5 Ga 2.61-2.70
Ga1 0.0000 0.0000 0.4315 x2  1 Nb 2.61, 4 Ga 2.71, 4 Sc 2.85
Ga2 0.0000 0.5000 0.2825 x4  2 Nb 2.70, 6 Ga 2.71

spin magnetization: 0.0 μB/cell
ΔE_f: -0.134 eV per atom
polymorph energy (0 for the lowest one): 0.0 meV per atom
VASP energy: -5.2304 eV/atom



Entry 3:
Below is crystalline Fe2AsWAu at its relaxed geometry, with properties calculated at the PBE-GGA level.

Unit cell a=4.2142 b=4.2142 c=4.7547 alpha=90.00 beta=90.00 gamma=90.00
Last column: nearest neighbours and their distance in Å.
Space group P4/mmm (No. 123)
Inequivalent atoms, fractional coordinates:
Fe1 0.0000 0.5000 0.0000 x2  2 As 2.11
As1 0.0000 0.0000 0.0000 x1  4 Fe 2.11
W1 0.5000 0.5000 0.5000 x1  4 Au 2.98, 8 Fe 3.18
Au1 0.0000 0.0000 0.5000 x1  2 As 2.38

spin magnetization: 0.0 μB/cell
ΔE_f: 1.446 eV per atom
VASP energy: -6.1150 eV/atom



Entry 4:
Below is crystalline PmScIn at its relaxed geometry, with properties calculated at the PBE-GGA level.

Unit cell a=5.2543 b=5.2543 c=3.1985 alpha=90.00 beta=90.00 gamma=120.00
Last column: nearest neighbours and their distance in Å.
Space group P3m1 (No. 156)
Inequivalent atoms, fractional coordinates:
Pm1 0.0000 0.0000 0.0000 x1  3 Sc 3.03, 2 Pm 3.20
Sc1 0.6667 0.3333 0.0058 x1  3 Pm 3.03, 2 Sc 3.20
In1 0.3333 0.6667 0.5023 x1  2 In 3.20, 6 Sc 3.42-3.43, 6 Pm 3.43

spin magnetization: 0.0 μB/cell
ΔE_f: -0.087 eV per atom
polymorph energy (0 for the lowest one): 268.0 meV per atom
VASP energy: -4.6939 eV/atom



Entry 5:
Below is crystalline Th2ScPd2 at its relaxed geometry, with properties calculated at the PBE-GGA level.

Unit cell a=7.9093 b=7.9093 c=3.8928 alpha=90.00 beta=90.00 gamma=90.00
Last column: nearest neighbours and their distance in Å.
Space group P4/mbm (No. 127)
Inequivalent atoms, fractional coordinates:
Th1 0.1763 0.3237 0.0000 x4  6 Pd 2.92-3.12
Sc1 0.0000 0.0000 0.5000 x2  4 Pd 3.11
Pd1 0.1289 0.6289 0.5000 x4  1 Pd 2.88, 6 Th 2.92-3.12, 2 Sc 3.11

spin magnetization: 0.0 μB/cell
ΔE_f: -0.662 eV per atom
VASP energy: -6.9732 eV/atom



Entry 6:
Below is crystalline CrCd2H at its relaxed geometry, with properties calculated at the PBE-GGA level.

Unit cell a=7.2056 b=7.2056 c=5.0493 alpha=90.00 beta=90.00 gamma=90.00
Last column: nearest neighbours and their distance in Å.
Space group I-42d (No. 122)
Inequivalent atoms, fractional coordinates:
Cr1 0.0000 0.0000 0.0000 x4  2 H 2.52
Cd1 0.1691 0.2500 0.6250 x8  2 H 2.26
H1 0.0000 0.0000 0.5000 x4  4 Cd 2.26, 2 Cr 2.52

spin magnetization: 15.6 μB/cell
polymorph energy (0 for the lowest one): 0.0 meV per atom
VASP energy: -3.1474 eV/atom



Entry 7:
Below is crystalline Tb5SiTe4 at its relaxed geometry, with properties calculated at the PBE-GGA level.

Unit cell a=9.7355 b=9.7355 c=6.0989 alpha=90.00 beta=90.00 gamma=90.00
Last column: nearest neighbours and their distance in Å.
Space group I4/m (No. 87)
Inequivalent atoms, fractional coordinates:
Tb1 0.0000 0.0000 0.0000 x2  2 Si 3.05, 4 Te 3.11
Tb2 0.0951 0.7282 0.5000 x8  1 Si 2.80, 3 Te 3.07-3.11
Si1 0.0000 0.0000 0.5000 x2  6 Tb 2.80-3.05
Te1 0.0919 0.6939 0.0000 x8  6 Tb 3.07-3.26

spin magnetization: 0.0 μB/cell
formation energy (no corrections): -12.79 eV/f.u.
VASP energy: -5.3926 eV/atom



Entry 8:
Below is crystalline Se2SN2 at its relaxed geometry, with properties calculated at the PBE-GGA level.

Unit cell a=4.3504 b=4.3504 c=3.8025 alpha=90.00 beta=90.00 gamma=90.00
Last column: nearest neighbours and their distance in Å.
Space group P4/mmm (No. 123)
Inequivalent atoms, fractional coordinates:
Se1 0.0000 0.5000 0.0000 x2  2 N 2.18
S1 0.0000 0.0000 0.5000 x1  8 Se 2.89, 4 N 3.08
N1 0.5000 0.5000 0.0000 x1  2 N 1.90
N2 0.5000 0.5000 0.5000 x1  2 N 1.90

spin magnetization: 1.4 μB/cell
formation energy (no corrections): 9.39 eV/f.u.
polymorph energy (0 for the lowest one): 453.1 meV per atom
VASP energy: -3.6712 eV/atom



Entry 9:
Below is crystalline Ta2Al2Ge at its relaxed geometry, with properties calculated at the PBE-GGA level.

Unit cell a=6.6656 b=6.6656 c=3.7490 alpha=90.00 beta=90.00 gamma=90.00
Last column: nearest neighbours and their distance in Å.
Space group P4/mbm (No. 127)
Inequivalent atoms, fractional coordinates:
Ta1 0.1725 0.3275 0.0000 x4  6 Al 2.65-2.76
Al1 0.1291 0.6291 0.5000 x4  1 Al 2.43, 2 Ge 2.62, 2 Ta 2.65
Ge1 0.0000 0.0000 0.5000 x2  4 Al 2.62

spin magnetization: 0.0 μB/cell
ΔE_f: 0.153 eV per atom
polymorph energy (0 for the lowest one): 211.4 meV per atom
VASP energy: -7.0086 eV/atom



Entry 10:
Below is crystalline BaZr2Co at its relaxed geometry, with properties calculated at the PBE-GGA level.

Unit cell a=4.0461 b=4.0461 c=23.7247 alpha=90.00 beta=90.00 gamma=120.00
Last column: nearest neighbours and their distance in Å.
Space group R-3m (No. 166, hexagonal axes)
Inequivalent atoms, fractional coordinates:
Ba1 0.0000 0.0000 0.0000 x3  6 Zr 3.73, 6 Ba 4.05
Zr1 0.0000 0.0000 0.2107 x6  3 Co 2.56
Co1 0.0000 0.0000 0.5000 x3  6 Zr 2.56

spin magnetization: 0.0 μB/cell
ΔE_f: 0.176 eV per atom
polymorph energy (0 for the lowest one): 15.1 meV per atom
VASP energy: -6.3548 eV/atom



Entry 11:
Below is crystalline Ga2TcAu at its relaxed geometry, with properties calculated at the PBE-GGA level.

Unit cell a=2.8255 b=2.8255 c=29.7168 alpha=90.00 beta=90.00 gamma=120.00
Last column: nearest neighbours and their distance in Å.
Space group R-3m (No. 166, hexagonal axes)
Inequivalent atoms, fractional coordinates:
Ga1 0.0000 0.0000 0.0863 x6  1 Tc 2.57, 6 Ga 2.83
Tc1 0.0000 0.0000 0.0000 x3  2 Ga 2.57, 6 Tc 2.83
Au1 0.0000 0.0000 0.5000 x3  6 Au 2.83, 6 Ga 2.89

spin magnetization: 0.1 μB/cell
ΔE_f: 0.311 eV per atom
polymorph energy (0 for the lowest one): 426.5 meV per atom
VASP energy: -4.6135 eV/atom



Entry 12:
Below is crystalline Dy2PaCr2C4 at its relaxed geometry, with properties calculated at the PBE-GGA level.

Unit cell a=12.8556 b=3.4159 c=6.0715 alpha=90.00 beta=110.31 gamma=90.00
Last column: nearest neighbours and their distance in Å.
Space group C2/m (No. 12)
Inequivalent atoms, fractional coordinates:
Dy1 0.1367 0.0000 0.0463 x4  7 C 2.60-2.87
Pa1 0.0000 0.0000 0.5000 x2  6 C 2.44-2.64
Cr1 0.1824 0.5000 0.4854 x4  4 C 1.95-2.10
C1 0.0350 0.5000 0.2463 x4  1 Cr 1.95
C2 0.2179 0.0000 0.7005 x4  3 Cr 1.98-2.10

spin magnetization: 0.0 μB/cell
ΔE_f: -0.124 eV per atom
VASP energy: -8.4395 eV/atom



Entry 13:
Below is crystalline Cs2HoPdCl6 at its relaxed geometry, with properties calculated at the PBE-GGA level.

Unit cell a=7.7389 b=10.2666 c=7.7426 alpha=90.00 beta=90.00 gamma=90.00
Last column: nearest neighbours and their distance in Å.
Space group Pmmn (No. 59, origin choice 2)
Inequivalent atoms, fractional coordinates:
Cs1 0.2500 0.0000 0.2502 x4  12 Cl 3.75-3.87
Ho1 0.2500 0.2500 0.7503 x2  6 Cl 2.63-2.65
Pd1 0.2500 0.7500 0.7498 x2  2 Cl 2.49
Cl1 0.0100 0.2500 0.5105 x4  1 Ho 2.63, 1 Pd 2.85
Cl2 0.0101 0.2500 0.9902 x4  1 Ho 2.63, 1 Pd 2.85
Cl3 0.2500 0.5077 0.7500 x4  1 Pd 2.49, 1 Ho 2.65

spin magnetization: 2.0 μB/cell
formation energy (no corrections): -17.26 eV/f.u.
VASP energy: -3.9819 eV/atom



Entry 14:
Below is crystalline CsCaHoF6 at its relaxed geometry, with properties calculated at the PBE-GGA level.

Unit cell a=8.1579 b=8.3295 c=11.7636 alpha=90.00 beta=90.00 gamma=90.00
Last column: nearest neighbours and their distance in Å.
Space group Imma (No. 74)
Inequivalent atoms, fractional coordinates:
Cs1 0.0000 0.2500 0.0803 x4  1 F 2.97
Ca1 0.2500 0.2500 0.7500 x4  6 F 2.24-2.28
Ho1 0.0000 0.0000 0.5000 x4  6 F 2.16-2.20
F1 0.0000 0.2500 0.4408 x4  2 Ho 2.20
F2 0.0000 0.2500 0.8281 x4  2 Ca 2.24
F3 0.1926 0.0542 0.6201 x16  1 Ho 2.16, 1 Ca 2.28

spin magnetization: 0.4 μB/cell
formation energy (no corrections): -33.86 eV/f.u.
VASP energy: -5.8357 eV/atom



Entry 15:
Below is crystalline AcPbBr at its relaxed geometry, with properties calculated at the PBE-GGA level.

Unit cell a=5.0621 b=5.0621 c=10.8256 alpha=90.00 beta=90.00 gamma=120.00
Last column: nearest neighbours and their distance in Å.
Space group P-3m1 (No. 164)
Inequivalent atoms, fractional coordinates:
Ac1 0.0000 0.0000 0.2052 x2  3 Br 3.33, 3 Pb 3.49
Pb1 0.3333 0.6667 0.9715 x2  3 Pb 2.99
Br1 0.3333 0.6667 0.3524 x2  3 Ac 3.33

spin magnetization: 0.0 μB/cell
formation energy (no corrections): -2.98 eV/f.u.
polymorph energy (0 for the lowest one): 113.9 meV per atom
VASP energy: -4.1549 eV/atom



Entry 16:
Below is crystalline LaPd3O4 at its relaxed geometry, with properties calculated at the PBE-GGA level.

Unit cell a=5.9701 b=5.9701 c=5.9701 alpha=90.00 beta=90.00 gamma=90.00
Last column: nearest neighbours and their distance in Å.
Space group Pm-3n (No. 223)
Inequivalent atoms, fractional coordinates:
La1 0.0000 0.0000 0.0000 x2  8 O 2.59
Pd1 0.0000 0.2500 0.5000 x6  4 O 2.11
O1 0.2500 0.2500 0.2500 x8  3 Pd 2.11

spin magnetization: 0.0 μB/cell
formation energy (no corrections): -10.89 eV/f.u.
VASP energy: -6.4041 eV/atom



Entry 17:
Below is crystalline TlCdPd4 at its relaxed geometry, with properties calculated at the PBE-GGA level.

Unit cell a=7.7658 b=2.9634 c=18.2416 alpha=90.00 beta=90.00 gamma=90.00
Last column: nearest neighbours and their distance in Å.
Space group Pnma (No. 62)
Inequivalent atoms, fractional coordinates:
Tl1 0.2369 0.2500 0.0574 x4  9 Pd 2.80-2.98, 2 Tl 2.96
Cd1 0.2471 0.7500 0.3095 x4  9 Pd 2.72-2.89, 2 Cd 2.96
Pd1 0.0463 0.7500 0.4326 x4  1 Cd 2.73, 3 Tl 2.83, 8 Pd 2.96-2.97
Pd2 0.0712 0.7500 0.6990 x4  4 Cd 2.87-2.89, 8 Pd 2.96-3.04, 1 Tl 2.98
Pd3 0.0978 0.7500 0.1747 x4  2 Cd 2.72-2.74, 2 Tl 2.82, 8 Pd 2.96-3.04
Pd4 0.1227 0.7500 0.9321 x4  3 Tl 2.80-2.87, 2 Cd 2.87, 6 Pd 2.96-2.99

spin magnetization: 0.0 μB/cell
ΔE_f: -0.181 eV per atom
polymorph energy (0 for the lowest one): 0.0 meV per atom
VASP energy: -4.1902 eV/atom



Entry 18:
Below is crystalline PmDyScPb at its relaxed geometry, with properties calculated at the PBE-GGA level.

Unit cell a=7.5980 b=7.5980 c=7.5980 alpha=90.00 beta=90.00 gamma=90.00
Last column: nearest neighbours and their distance in Å.
Space group F-43m (No. 216)
Inequivalent atoms, fractional coordinates:
Pm1 0.0000 0.0000 0.0000 x4  4 Dy 3.29, 4 Sc 3.29
Dy1 0.2500 0.2500 0.2500 x4  4 Pb 3.29, 4 Pm 3.29
Sc1 0.2500 0.2500 0.7500 x4  4 Pb 3.29, 4 Pm 3.29
Pb1 0.0000 0.0000 0.5000 x4  4 Dy 3.29, 4 Sc 3.29

spin magnetization: 2.7 μB/cell
ΔE_f: -0.079 eV per atom
VASP energy: -4.9274 eV/atom



Entry 19:
Below is crystalline CsLiRhPb2 at its relaxed geometry, with properties calculated at the PBE-GGA level.

Unit cell a=5.3302 b=5.3302 c=5.4864 alpha=90.00 beta=90.00 gamma=90.00
Last column: nearest neighbours and their distance in Å.
Space group P4/mmm (No. 123)
Inequivalent atoms, fractional coordinates:
Cs1 0.0000 0.0000 0.0000 x1  4 Li 3.77, 8 Pb 3.82
Li1 0.5000 0.5000 0.0000 x1  2 Rh 2.74
Rh1 0.5000 0.5000 0.5000 x1  4 Pb 2.67, 2 Li 2.74
Pb1 0.0000 0.5000 0.5000 x2  2 Rh 2.67

spin magnetization: 0.0 μB/cell
ΔE_f: -0.039 eV per atom
VASP energy: -3.5464 eV/atom



Entry 20:
Below is crystalline Mg2ZnTc at its relaxed geometry, with properties calculated at the PBE-GGA level.

Unit cell a=6.3927 b=6.3927 c=6.3927 alpha=90.00 beta=90.00 gamma=90.00
Last column: nearest neighbours and their distance in Å.
Space group Fm-3m (No. 225)
Inequivalent atoms, fractional coordinates:
Mg1 0.2500 0.2500 0.2500 x8  4 Tc 2.77, 4 Zn 2.77
Zn1 0.0000 0.0000 0.0000 x4  8 Mg 2.77
Tc1 0.0000 0.0000 0.5000 x4  8 Mg 2.77

spin magnetization: 0.0 μB/cell
ΔE_f: 0.250 eV per atom
polymorph energy (0 for the lowest one): 165.2 meV per atom
VASP energy: -3.4574 eV/atom